K2Pu3RhO12, relaxed, DFT PBE-GGA; E_form (uncorrected) = -2134 meV/atom; volume = 312.8 Å³ per cell; energy = -8.358 eV/atom
1.0
3.9111 2.2581 5.9023
-3.9111 2.2581 5.9023
0.0000 -4.5161 5.9023
K Pu Rh O
2 3 1 12
Direct
0.1419 0.1419 0.1419
0.8581 0.8581 0.8581
0.0000 0.5000 0.5000
0.5000 0.0000 0.5000
0.5000 0.5000 0.0000
0.5000 0.5000 0.5000
0.1782 0.1782 0.5582
0.1782 0.5582 0.1782
0.1895 0.5639 0.5639
0.4361 0.4361 0.8105
0.4361 0.8105 0.4361
0.4418 0.8218 0.8218
0.5582 0.1782 0.1782
0.5639 0.1895 0.5639
0.5639 0.5639 0.1895
0.8105 0.4361 0.4361
0.8218 0.4418 0.8218
0.8218 0.8218 0.4418

TbErCuHg, relaxed, DFT PBE-GGA; ΔE to the lowest computed polymorph = 0 meV per atom; volume = 92.7 Å³ per cell; formation energy from the elements = -360 meV per atom; energy = -3.757 eV/atom
1.0
3.5329 0.0000 0.0000
0.0000 3.5329 0.0000
0.0000 0.0000 7.4295
Tb Er Cu Hg
1 1 1 1
Direct
0.0000 0.0000 0.0000
0.0000 0.0000 0.5462
0.5000 0.5000 0.7651
0.5000 0.5000 0.2782

TbSm3N4, relaxed, DFT PBE-GGA; E_form (uncorrected) = -1522 meV/atom; ΔE to the lowest computed polymorph = 0 meV per atom; volume = 256.5 Å³ per cell; energy = -8.033 eV/atom
1.0
6.1751 0.0000 0.0000
0.0000 7.1351 0.0000
-2.0557 0.0000 5.8225
Tb Sm N
2 6 8
Direct
0.0000 0.1253 0.2500
0.0000 0.8747 0.7500
0.0000 0.3731 0.7500
0.0000 0.6269 0.2500
0.5000 0.1250 0.7500
0.5000 0.3729 0.2500
0.5000 0.6271 0.7500
0.5000 0.8750 0.2500
0.2459 0.1255 0.0009
0.2459 0.8745 0.5009
0.2485 0.3696 0.4973
0.2485 0.6304 0.9973
0.7515 0.3696 0.0027
0.7515 0.6304 0.5027
0.7541 0.1255 0.4991
0.7541 0.8745 0.9991

Pm3Ga3Rh, relaxed, DFT PBE-GGA; volume = 329.6 Å³ per cell; formation energy from the elements = -681 meV per atom; energy = -5.064 eV/atom
1.0
5.5551 -2.1855 0.0000
5.5551 2.1855 0.0000
-5.0673 0.0000 13.5731
Pm Ga Rh
6 6 2
Direct
0.0259 0.0259 0.3809
0.1090 0.1090 0.9234
0.2392 0.2392 0.2357
0.7608 0.7608 0.7643
0.8910 0.8910 0.0766
0.9741 0.9741 0.6191
0.3586 0.3586 0.4601
0.3943 0.3943 0.9230
0.4635 0.4635 0.7657
0.5365 0.5365 0.2343
0.6057 0.6057 0.0770
0.6414 0.6414 0.5399
0.2581 0.2581 0.5962
0.7419 0.7419 0.4038

CaCuRh2, relaxed, DFT PBE-GGA; ΔE to the lowest computed polymorph = 9 meV per atom; volume = 65.5 Å³ per cell; formation energy from the elements = -34 meV per atom; energy = -5.234 eV/atom
1.0
4.6097 -1.4531 0.0000
4.6097 1.4531 0.0000
-1.1106 0.0000 4.8861
Ca Cu Rh
1 1 2
Direct
0.0000 0.0000 0.0000
0.5000 0.5000 0.5000
0.2367 0.2367 0.7145
0.7633 0.7633 0.2855

Tl8Sb3, relaxed, DFT PBE-GGA; E_form (uncorrected) = 67 meV/atom; volume = 379.2 Å³ per cell; energy = -2.779 eV/atom
1.0
5.4392 3.1403 3.7001
-5.4392 3.1403 3.7001
0.0000 -6.2806 3.7001
Tl Sb
8 3
Direct
0.1433 0.1433 0.1433
0.1658 0.4142 0.6248
0.3752 0.8342 0.5858
0.4142 0.6248 0.1658
0.5858 0.3752 0.8342
0.6248 0.1658 0.4142
0.8342 0.5858 0.3752
0.8567 0.8567 0.8567
0.0000 0.0000 0.5000
0.0000 0.5000 0.0000
0.5000 0.0000 0.0000